Here is an optimized crystal structure of Fe2Co3Sb3O16 from the Alexandria database. Energies are from PBE with a Hubbard U.

Geometry as extended XYZ:
```
24
Lattice="5.096 -2.996 0.000 5.096 2.996 0.000 -0.311 0.000 9.161" Properties=species:S:1:pos:R:3 pbc="T T T"
Fe 0.000 0.000 0.000
Fe 6.677 0.000 4.674
Co 4.176 1.508 6.610
Co 5.201 0.000 2.043
Co 4.176 -1.508 6.610
Sb 2.638 1.510 2.078
Sb 1.619 0.000 6.646
Sb 2.638 -1.510 2.078
O -0.137 0.000 5.622
O 2.532 1.484 5.627
O 1.790 0.000 1.015
O 4.316 1.466 1.028
O 5.656 1.652 7.755
O 3.540 0.000 3.070
O 3.394 0.000 7.590
O 6.058 1.292 3.173
O 4.955 0.000 5.713
O 2.532 -1.484 5.627
O 4.316 -1.466 1.028
O 6.830 0.000 0.998
O 6.058 -1.292 3.173
O 8.387 0.000 3.282
O 5.656 -1.652 7.755
O 8.585 0.000 7.601
```

Output
The size of the total moment is 0.498 μB per atom. Its space group is Cm. Its total energy is -6.033 eV/atom.